Arrangement P

# NdCoAsO

A relaxed NdCoAsO crystal (PBE with a Hubbard U, OQMD via LeMat-Bulk).

Structure (extended XYZ):
```
8
Lattice="-0.1404 -4.0416 -1.8267 3.7320 1.9642 -4.6327 4.8253 -1.6151 3.2024" Properties=species:S:1:pos:R:3 pbc="T T T"
As 3.0002 -0.1535 0.1091
As 7.1690 -0.0368 -0.4696
Co 3.3876 -0.3702 -4.8311
Co 3.0099 -2.6464 0.2339
Nd 4.7719 0.7836 -2.1006
Nd 5.3863 -0.9703 1.7328
O 4.9311 -0.9687 -3.6256
O 4.7435 -3.1447 1.2033
```


Arrangement Q

# NdCoAsO

A relaxed NdCoAsO crystal (PBE with a Hubbard U, OQMD via LeMat-Bulk).

Structure (extended XYZ):
```
8
Lattice="-2.7559 -2.3268 -1.8105 0.9964 -3.0675 2.4258 -5.5544 2.4212 5.3432" Properties=species:S:1:pos:R:3 pbc="T T T"
As -3.3280 -3.1703 2.3935
As -3.9859 0.1971 3.5650
Co -4.5950 -1.3014 1.9202
Co -2.7189 -1.6718 4.0383
Nd -1.2539 -0.9937 0.9369
Nd -6.0600 -1.9794 5.0216
O -1.8178 -2.5120 -0.7514
O 0.0583 -2.8824 1.3667
```


Q: Which of them is the most stable? A: arrangement Q.


Arrangement P

# NdCoAsO

A relaxed NdCoAsO crystal (PBE with a Hubbard U, OQMD via LeMat-Bulk).

Structure (extended XYZ):
```
8
Lattice="-0.2814 3.2296 2.9338 1.9981 -2.3878 2.8202 6.2857 2.5963 -2.2552" Properties=species:S:1:pos:R:3 pbc="T T T"
As 3.2403 -1.0744 1.4935
As 5.3804 1.4221 -1.0494
Co 3.3128 0.5622 -0.3011
Co 7.4511 0.6708 -0.0237
Nd 0.9756 1.2747 1.9483
Nd 5.1201 1.3758 2.2345
O 3.0717 2.1382 1.1989
O 7.2133 2.2428 1.4809
```


Arrangement Q

# NdCoAsO

A relaxed NdCoAsO crystal (PBE with a Hubbard U, OQMD via LeMat-Bulk).

Structure (extended XYZ):
```
8
Lattice="-1.4314 2.5883 3.2340 -3.7230 0.6959 -2.2048 -3.8340 -7.3220 4.1631" Properties=species:S:1:pos:R:3 pbc="T T T"
As -5.0163 0.2660 2.0211
As -3.9722 -4.3038 3.1712
Co -3.9451 2.3117 0.8580
Co -5.0433 -6.3495 4.3343
Nd -3.9213 -1.5458 3.9558
Nd -5.0671 -2.4920 1.2364
O -2.0043 2.1152 1.8743
O -3.1501 1.1690 -0.8451
```


Q: Which of them is the most stable? A: arrangement P.